1.
A plane-wave DFT calculation with PBEsol was carried out for a relaxed structure of CoAs2Os.

Computed properties:
formation energy from the elements	209	meV/atom
Fermi-level density of states	3.2	states/eV/cell

Cell lengths 9.384, 9.384, 9.384 Å; angles 17.43, 17.43, 17.43 degrees
Fractional positions:
1 Co 0.000 0.000 0.000
2 As 0.524 0.524 0.524
3 As 0.729 0.729 0.729
4 Os 0.259 0.259 0.259


2.
A plane-wave DFT calculation with PBEsol was carried out for a relaxed structure of ZrBe2Pb.

Computed properties:
formation energy from the elements	378	meV/atom
Fermi-level density of states	2.8	states/eV/cell

Cell lengths 4.940, 4.940, 4.940 Å; angles 131.06, 131.06, 71.71 degrees
Fractional positions:
1 Zr 0.000 0.000 0.000
2 Be 0.250 0.750 0.500
3 Be 0.750 0.250 0.500
4 Pb 0.500 0.500 0.000